Tl2AgI2 after structural relaxation. Source: Alexandria via LeMat-Bulk, functional PBE. Values from VASP.

Symmetry: P4/mbm
Uncorrected formation energy in eV per atom: -0.139
VASP energy in eV/atom: -2.276
ρ in g/cm³: 7.13
Excess energy over the best structure of this formula in the dataset in meV per atom: 15

Geometry as Quantum ESPRESSO input:
```
&SYSTEM
  ibrav = 0, nat = 10, ntyp = 3
/
ATOMIC_SPECIES
Tl 204.38 Tl.upf
Ag 107.87 Ag.upf
I 126.90 I.upf
CELL_PARAMETERS angstrom
-2.6411 7.9427 1.2361
-1.6856 0.7249 -8.2597
-4.6589 -1.6743 0.8038
ATOMIC_POSITIONS crystal
Tl 0.3457 0.8457 0.0000
Tl 0.6543 0.1543 0.0000
Tl 0.8457 0.6543 0.0000
Tl 0.1543 0.3457 0.0000
Ag 0.0000 0.0000 0.0000
Ag 0.5000 0.5000 0.0000
I 0.8341 0.3341 0.5000
I 0.3341 0.1659 0.5000
I 0.6659 0.8341 0.5000
I 0.1659 0.6659 0.5000
```